DFT (PBE-GGA) results for Ba3Ta2SnO9 after structural relaxation.

Cell lengths 5.9857, 5.9857, 7.7084 Å; angles 90.00, 90.00, 120.00 degrees
Positions (direct):
1 O 0.5000 0.0000 0.0000
2 O 0.1762 0.3524 0.2963
3 O 0.8238 0.6476 0.7037
4 Ba 0.6667 0.3333 0.3114
5 Ba 0.0000 0.0000 0.0000
6 O 0.8238 0.1762 0.7037
7 Ba 0.3333 0.6667 0.6886
8 O 0.1762 0.8238 0.2963
9 Ta 0.3333 0.6667 0.1628
10 Ta 0.6667 0.3333 0.8372
11 O 0.3524 0.1762 0.7037
12 O 0.0000 0.5000 0.0000
13 O 0.5000 0.5000 0.0000
14 Sn 0.0000 0.0000 0.5000
15 O 0.6476 0.8238 0.2963

Results
* formation energy (no corrections): -2.689 eV per atom



DFT (PBE-GGA) results for Sm5TmBi6 after structural relaxation.

Cell lengths 7.8616, 7.8609, 7.8621 Å; angles 60.01, 80.39, 70.49 degrees
Positions (direct):
1 Sm 0.5000 0.1688 0.6624
2 Bi 0.2464 0.5894 0.3287
3 Bi 0.7536 0.0819 0.3287
4 Bi 0.2485 0.2453 0.0000
5 Tm 0.0000 0.0000 0.0000
6 Bi 0.7536 0.4106 0.6713
7 Bi 0.2464 0.9181 0.6713
8 Sm 0.0000 0.3341 0.3319
9 Bi 0.7515 0.7547 0.0000
10 Sm 0.5000 0.8312 0.3376
11 Sm 0.0000 0.6659 0.6681
12 Sm 0.5000 0.5000 0.0000

Results
* ΔH_f (0 K): -899 meV per atom



DFT (PBE-GGA) results for AcY12Ho2 after structural relaxation.

Cell lengths 6.6982, 6.6982, 25.0784 Å; angles 96.69, 96.69, 114.70 degrees
Positions (direct):
1 Y 0.5599 0.5599 0.0783
2 Y 0.8376 0.8301 0.4456
3 Y 0.1699 0.1624 0.5544
4 Y 0.4055 0.4035 0.2045
5 Y 0.5965 0.5945 0.7955
6 Y 0.1088 0.6088 0.1437
7 Y 0.4963 0.5017 0.3317
8 Y 0.4401 0.4401 0.9217
9 Y 0.3247 0.8247 0.4277
10 Ac 0.0003 0.5003 0.0005
11 Y 0.4983 0.5037 0.6683
12 Y 0.9401 0.9401 0.9217
13 Ac 0.4997 0.9997 0.9995
14 Y 0.1753 0.6753 0.5723
15 Ho 0.9544 0.4544 0.2750
16 Y 0.6624 0.6699 0.5544
17 Y 0.0599 0.0599 0.0783
18 Y 0.3912 0.8912 0.8563
19 Y 0.0037 0.9983 0.6683
20 Ho 0.0409 0.5409 0.7255
21 Y 0.9035 0.9055 0.2045
22 Y 0.8136 0.3136 0.4230
23 Y 0.3301 0.3376 0.4456
24 Y 0.6864 0.1864 0.5770
25 Ho 0.5456 0.0456 0.7250
26 Ho 0.4591 0.9591 0.2745
27 Y 0.0945 0.0965 0.7955
28 Y 0.0017 0.9963 0.3317
29 Y 0.6081 0.1081 0.1425
30 Y 0.8919 0.3919 0.8575

Results
* ΔH_f (0 K): 117 meV per atom



DFT (PBE-GGA) results for Cs2DyPbO4 after structural relaxation.

Cell lengths 6.5115, 6.5134, 6.5918 Å; angles 119.64, 119.63, 89.93 degrees
Positions (direct):
1 Dy 0.9859 0.4859 0.9718
2 O 0.8671 0.4706 0.2177
3 Cs 0.4862 0.9862 0.9724
4 Pb 0.7360 0.7360 0.4719
5 Cs 0.2362 0.2362 0.4723
6 O 0.3507 0.7472 0.2178
7 O 0.7241 0.6041 0.7251
8 O 0.0011 0.1210 0.7251

Results
* formation energy (no corrections): -1.825 eV per atom



DFT (PBE-GGA) results for MgTe2Pd7 after structural relaxation.

Cell lengths 3.6749, 8.2728, 8.2728 Å; angles 126.12, 90.00, 90.00 degrees
Positions (direct):
1 Te 0.5000 0.3223 0.6777
2 Pd 0.5000 0.5000 0.5000
3 Pd 0.5000 0.0908 0.2825
4 Pd 0.5000 0.9092 0.7175
5 Te 0.5000 0.6777 0.3223
6 Mg 0.0000 0.0000 0.0000
7 Pd 0.5000 0.7175 0.9092
8 Pd 0.0000 0.2009 0.7991
9 Pd 0.5000 0.2825 0.0908
10 Pd 0.0000 0.7991 0.2009

Results
* formation energy (no corrections): -0.186 eV per atom



DFT (PBE-GGA) results for Zn4FeNi5 after structural relaxation.

Cell lengths 2.6742, 2.6742, 16.7360 Å; angles 90.00, 90.00, 90.00 degrees
Positions (direct):
1 Ni 0.5000 0.5000 0.2994
2 Ni 0.5000 0.5000 0.0973
3 Zn 0.0000 0.0000 0.3997
4 Zn 0.0000 0.0000 0.6003
5 Zn 0.0000 0.0000 0.8006
6 Zn 0.0000 0.0000 0.1994
7 Fe 0.0000 0.0000 0.0000
8 Ni 0.5000 0.5000 0.5000
9 Ni 0.5000 0.5000 0.9027
10 Ni 0.5000 0.5000 0.7006

Results
* ΔH_f (0 K): -196 meV per atom



| no. | DOS(E_F) (states/eV per cell) |
| --- | --- |
| 1 | 0.00 |
| 2 | 2.12 |
| 3 | 48.15 |
| 4 | 2.36 |
| 5 | 5.53 |
| 6 | 5.12 |